(1)
This record from the Alexandria database describes an optimized crystal structure of ZnS4I. The functional is PBE.

Cell and atoms, written as POSCAR:
```
ZnS4I
1.0
4.7813 0.0000 0.0000
1.3319 6.7404 0.0000
2.1166 2.2871 11.5338
Zn S I
2 8 2
Direct
0.0664 0.2790 0.4852
0.9336 0.7210 0.5148
0.0992 0.6183 0.9856
0.1032 0.1492 0.3205
0.2104 0.0280 0.6480
0.3686 0.5367 0.4340
0.6314 0.4633 0.5660
0.7896 0.9720 0.3520
0.8968 0.8508 0.6795
0.9008 0.3817 0.0144
0.0692 0.2176 0.8317
0.9308 0.7824 0.1683
```

Computed properties:
- Formation energy without anion corrections: -59 meV/atom
- Space group: P-1
- Calculated volume: 185.9 Å³/f.u.

(2)
This record from the Alexandria database describes an optimized crystal structure of ZnS2I. The functional is PBE.

Cell and atoms, written as POSCAR:
```
ZnS2I
1.0
1.9511 1.1265 8.4776
-1.9511 1.1265 8.4776
0.0000 -2.2529 8.4776
Zn S I
1 2 1
Direct
0.0000 0.0000 0.0000
0.0849 0.0849 0.0849
0.9151 0.9151 0.9151
0.5000 0.5000 0.5000
```

Computed properties:
- Formation energy without anion corrections: 514 meV/atom
- ΔE to the lowest computed polymorph: 591 meV/atom
- Space group: R-3m
- Calculated volume: 111.8 Å³/f.u.